[1]
Density functional theory data (PBEsol) for an optimized crystal structure of Si4Te2H44PtC16Cl2.

Structure (POSCAR):
```
Si4Te2H44PtC16Cl2
1.0
11.995 -3.279 0.000
11.995 3.279 0.000
-1.306 0.000 20.184
Si Te H Pt C Cl
8 4 88 2 32 4
Cartesian
9.383 2.110 12.369
7.588 1.456 7.216
12.648 2.110 17.907
15.749 1.456 2.876
6.934 -1.456 17.308
10.036 -2.110 2.277
15.096 -1.456 12.968
13.301 -2.110 7.815
3.825 0.256 0.151
3.172 -0.256 10.243
19.512 0.256 9.941
18.858 -0.256 20.034
-0.500 0.034 12.913
4.882 1.475 11.255
0.153 -0.034 2.821
6.928 1.857 11.923
2.625 0.393 3.207
5.382 1.118 6.136
2.501 0.318 14.849
10.732 2.315 3.375
11.174 2.320 1.649
4.347 0.455 3.683
2.756 0.219 17.708
8.821 1.656 14.766
12.163 2.320 8.443
1.971 -0.393 13.300
7.177 0.911 9.653
12.605 2.315 6.718
3.154 -0.318 4.756
3.409 -0.219 7.615
5.358 0.429 16.854
10.197 1.630 10.054
6.661 0.261 5.241
3.694 -0.455 13.775
9.979 1.034 7.831
13.140 1.630 0.038
8.362 0.468 17.980
6.008 -0.261 15.334
6.011 -0.429 6.762
13.209 1.656 15.511
10.234 0.698 14.228
8.583 0.211 13.742
9.538 0.201 6.319
11.087 0.679 11.266
9.441 0.188 10.786
15.102 1.857 18.354
10.943 0.679 19.010
13.358 1.034 2.261
4.729 -1.118 16.228
9.236 -0.211 3.649
11.797 0.698 16.048
8.885 -0.201 16.411
10.095 -0.188 0.694
5.535 -1.475 1.163
6.523 -0.911 19.746
9.016 -0.468 7.888
13.668 0.468 12.296
16.160 0.911 0.439
17.149 1.475 19.022
12.589 0.188 19.490
13.799 0.201 3.773
10.887 -0.698 4.136
13.448 0.211 16.535
17.955 1.118 3.956
9.326 -1.034 17.923
11.741 -0.679 1.174
7.581 -1.857 1.831
13.242 -0.188 9.398
11.596 -0.679 8.918
13.145 -0.201 13.866
14.101 -0.211 6.443
12.450 -0.698 5.956
9.475 -1.656 4.673
16.672 0.429 13.423
16.676 0.261 4.851
14.321 -0.468 2.204
9.544 -1.630 20.146
12.704 -1.034 12.354
18.990 0.455 6.410
16.022 -0.261 14.943
12.487 -1.630 10.131
17.326 -0.429 3.330
19.274 0.219 12.569
19.530 0.318 15.428
10.079 -2.315 13.467
15.507 -0.911 10.531
20.712 0.393 6.885
10.521 -2.320 11.741
13.862 -1.656 5.419
19.928 -0.219 2.477
18.337 -0.455 16.502
11.510 -2.320 18.536
11.952 -2.315 16.810
20.183 -0.318 5.336
17.301 -1.118 14.049
20.059 -0.393 16.977
15.756 -1.857 8.262
22.530 0.034 17.363
17.802 -1.475 8.929
23.184 -0.034 7.271
5.998 1.640 0.000
5.344 -1.640 10.092
11.120 2.946 2.557
6.906 1.728 8.962
3.039 0.586 8.274
12.217 2.946 7.535
2.784 0.170 13.792
3.437 -0.170 3.700
6.294 0.509 6.253
2.386 -0.586 18.366
9.242 1.077 13.926
10.088 1.058 10.991
9.178 0.468 7.327
5.641 -0.509 16.345
11.942 1.058 19.285
12.789 1.077 16.350
16.431 1.728 1.130
8.525 -0.468 17.419
14.159 0.468 2.765
6.253 -1.728 19.054
9.895 -1.077 3.834
10.742 -1.058 0.899
17.043 0.509 3.840
13.506 -0.468 12.858
12.595 -1.058 9.193
13.442 -1.077 6.258
20.298 0.586 1.818
16.390 -0.509 13.932
19.247 0.170 16.484
19.900 -0.170 6.392
10.467 -2.946 12.649
19.645 -0.586 11.911
15.778 -1.728 11.223
11.564 -2.946 17.627
6.878 0.694 1.904
6.224 -0.694 11.996
16.459 0.694 8.188
15.806 -0.694 18.281
```

Computed properties:
Final energy (eV/atom): -5.1188
Total magnetization (μB per atom): 0.000
Volume (A^3/atom): 11.507
DOS at the Fermi energy (states/eV/cell): 0.0

***

[2]
Density functional theory data (PBEsol) for an optimized crystal structure of Cs3AsBr6.

Structure (POSCAR):
```
Cs3AsBr6
1.0
0.000 5.919 5.919
5.919 0.000 5.919
5.919 5.919 0.000
Cs As Br
3 1 6
Cartesian
0.000 0.000 0.000
2.959 2.959 2.959
8.878 8.878 8.878
5.919 5.919 5.919
5.919 5.919 3.293
5.919 3.293 5.919
8.545 5.919 5.919
3.293 5.919 5.919
5.919 8.545 5.919
5.919 5.919 8.545
```

Computed properties:
Final energy (eV/atom): -3.1398
Formation energy without anion corrections (eV/atom): -1.224
Total magnetization (μB per atom): 0.000
Volume (A^3/atom): 41.473
DOS at the Fermi energy (states/eV/cell): 0.0

***

[3]
Density functional theory data (PBEsol) for an optimized crystal structure of SrZrRe3.

Structure (POSCAR):
```
SrZrRe3
1.0
4.669 0.000 0.000
0.000 4.669 0.000
0.000 0.000 4.669
Sr Zr Re
1 1 3
Cartesian
0.000 0.000 0.000
2.335 2.335 2.335
0.000 0.000 2.335
0.000 2.335 0.000
2.335 0.000 0.000
```

Computed properties:
Final energy (eV/atom): -7.0875
Energy of formation from the pure elements (meV/atom): 3097.8
Total magnetization (μB per atom): 0.000
Volume (A^3/atom): 20.360
DOS at the Fermi energy (states/eV/cell): 6.2

***

[4]
Density functional theory data (PBEsol) for an optimized crystal structure of YMgMn2.

Structure (POSCAR):
```
YMgMn2
1.0
4.739 0.000 0.000
0.000 4.739 0.000
0.000 0.000 3.245
Y Mg Mn
1 1 2
Cartesian
0.000 0.000 0.000
2.370 2.370 0.000
0.000 2.370 1.622
2.370 0.000 1.622
```

Computed properties:
Final energy (eV/atom): -6.5628
Energy of formation from the pure elements (meV/atom): 452.6
Total magnetization (μB per atom): 1.443
Volume (A^3/atom): 18.220
DOS at the Fermi energy (states/eV/cell): 4.4

***

[5]
Density functional theory data (PBEsol) for an optimized crystal structure of LiNbCCl2.

Structure (POSCAR):
```
LiNbCCl2
1.0
4.673 0.000 0.000
0.000 4.673 0.000
0.000 0.000 6.086
Li Nb C Cl
1 1 1 2
Cartesian
0.000 0.000 0.000
0.000 0.000 3.043
2.336 2.336 0.000
0.000 2.336 3.043
2.336 0.000 3.043
```

Computed properties:
Final energy (eV/atom): -4.1189
Formation energy without anion corrections (eV/atom): 1.171
Total magnetization (μB per atom): 0.246
Volume (A^3/atom): 26.577
DOS at the Fermi energy (states/eV/cell): 3.9

***

[6]
Density functional theory data (PBEsol) for an optimized crystal structure of Si3BiSe.

Structure (POSCAR):
```
Si3BiSe
1.0
5.308 0.000 0.000
0.000 5.308 0.000
0.000 0.000 5.308
Si Bi Se
3 1 1
Cartesian
0.000 0.000 2.654
0.000 2.654 0.000
2.654 0.000 0.000
0.000 0.000 0.000
2.654 2.654 2.654
```

Computed properties:
Final energy (eV/atom): -3.4947
Formation energy without anion corrections (eV/atom): 1.580
Total magnetization (μB per atom): 0.000
Volume (A^3/atom): 29.914
DOS at the Fermi energy (states/eV/cell): 5.4